WBr3F after structural relaxation, computed with PBE with a Hubbard U.

```
data_WBr3F
_symmetry_space_group_name_H-M 'P m -3 m'
_symmetry_Int_Tables_number 221
_symmetry_space_group_name_Hall '-P 4 2 3'
_cell_length_a 5.189
_cell_length_b 5.189
_cell_length_c 5.189
_cell_angle_alpha 90.00
_cell_angle_beta 90.00
_cell_angle_gamma 90.00
loop_
_atom_site_label
_atom_site_fract_x
_atom_site_fract_y
_atom_site_fract_z
_atom_site_occupancy
W1 0.000 0.000 0.000 1
Br1 0.000 0.000 0.500 1
F1 0.500 0.500 0.500 1
```

Calculated values
The value obtained for the density is 5.26 g cm⁻³. The size of the total moment comes out at 2.000 μB per formula unit. The calculation puts the density of states at the Fermi level at 2.29 states/eV per atom. The total energy comes out at -0.222 Ry per atom.